1.
Material: NaHfInCl6
Method: DFT, PBE
State: relaxed

## Properties
Crystal system: trigonal
Energy: -4.43 eV/atom
Formation energy from raw total energies: -37.97 kcal/mol of atoms

Unit cell a=7.0303 b=7.0303 c=13.3554 alpha=90.00 beta=90.00 gamma=120.00
Closest atoms and distances in Å follow each position.
Space group P-31c (No. 163)
Symmetry-distinct sites (fractional):
1 Na 0.3333 0.6667 0.2500 [2 per cell]  6 Cl 2.83
2 Hf 0.3333 0.6667 0.7500 [2 per cell]  6 Cl 2.47
3 In 0.0000 0.0000 0.0000 [2 per cell]  6 Cl 3.23
4 Cl 0.0391 0.3889 0.6431 [12 per cell]  1 Hf 2.47

2.
Material: Na2HfInCl8
Method: DFT, PBE
State: relaxed

## Properties
Crystal system: monoclinic
Energy: -4.08 eV/atom
Formation energy from raw total energies: -36.29 kcal/mol of atoms

Unit cell a=6.3274 b=8.3189 c=6.5095 alpha=90.00 beta=94.42 gamma=90.00
Closest atoms and distances in Å follow each position.
Space group P2/m (No. 10)
Symmetry-distinct sites (fractional):
1 Na 0.0000 0.2490 0.0000 [2 per cell]  6 Cl 2.73-3.04
2 Hf 0.5000 0.0000 0.5000 [1 per cell]  6 Cl 2.46-2.47
3 In 0.5000 0.5000 0.5000 [1 per cell]  6 Cl 2.61-2.91
4 Cl 0.2132 0.5000 0.1892 [2 per cell]  1 In 2.61, 2 Na 2.73
5 Cl 0.2379 0.0000 0.2001 [2 per cell]  1 Hf 2.46
6 Cl 0.3011 0.2158 0.6611 [4 per cell]  1 Hf 2.47

3.
Material: HfNbInCl2
Method: DFT, PBE
State: relaxed

## Properties
Crystal system: tetragonal
Energy: -4.21 eV/atom
Formation energy from raw total energies: 24.90 kcal/mol of atoms

Unit cell a=4.9260 b=4.9260 c=6.0041 alpha=90.00 beta=90.00 gamma=90.00
Closest atoms and distances in Å follow each position.
Space group P4/mmm (No. 123)
Symmetry-distinct sites (fractional):
1 Hf 0.0000 0.0000 0.0000 [1 per cell]  4 Nb 3.48, 8 Cl 3.88
2 Nb 0.5000 0.5000 0.0000 [1 per cell]  2 In 3.00
3 In 0.5000 0.5000 0.5000 [1 per cell]  4 Cl 2.46
4 Cl 0.0000 0.5000 0.5000 [2 per cell]  2 In 2.46

4.
Material: Hf2NbInCl
Method: DFT, PBE
State: relaxed

## Properties
Crystal system: tetragonal
Energy: -6.65 eV/atom
Formation energy from raw total energies: 5.94 kcal/mol of atoms

Unit cell a=4.7661 b=4.7661 c=4.5890 alpha=90.00 beta=90.00 gamma=90.00
Closest atoms and distances in Å follow each position.
Space group P4/mmm (No. 123)
Symmetry-distinct sites (fractional):
1 Hf 0.0000 0.5000 0.0000 [2 per cell]  2 Cl 2.38
2 Nb 0.0000 0.0000 0.5000 [1 per cell]  2 Cl 2.29
3 In 0.5000 0.5000 0.5000 [1 per cell]  8 Hf 3.31, 4 Nb 3.37
4 Cl 0.0000 0.0000 0.0000 [1 per cell]  2 Nb 2.29, 4 Hf 2.38

5.
Material: HfInPCl2
Method: DFT, PBE
State: relaxed

## Properties
Crystal system: tetragonal
Energy: -3.65 eV/atom
Formation energy from raw total energies: 16.41 kcal/mol of atoms
Offset from the most stable computed form: 7.33 eV per formula unit

Unit cell a=4.8238 b=4.8238 c=13.6648 alpha=90.00 beta=90.00 gamma=90.00
Closest atoms and distances in Å follow each position.
Space group P4/mmm (No. 123)
Symmetry-distinct sites (fractional):
1 Hf 0.0000 0.0000 0.0000 [1 per cell]  4 P 3.41
2 In 0.5000 0.5000 0.5000 [1 per cell]  4 Cl 2.41
3 P 0.5000 0.5000 0.0000 [1 per cell]  4 Hf 3.41
4 Cl 0.0000 0.5000 0.5000 [2 per cell]  2 In 2.41

6.
Material: HfInPCl2
Method: DFT, PBE
State: relaxed

## Properties
Crystal system: tetragonal
Energy: -5.11 eV/atom
Formation energy from raw total energies: -17.38 kcal/mol of atoms
Offset from the most stable computed form: 0.00 eV per formula unit

Unit cell a=5.0489 b=5.0489 c=5.0870 alpha=90.00 beta=90.00 gamma=90.00
Closest atoms and distances in Å follow each position.
Space group P4/mmm (No. 123)
Symmetry-distinct sites (fractional):
1 Hf 0.0000 0.0000 0.0000 [1 per cell]  4 Cl 2.52, 2 P 2.54
2 In 0.5000 0.5000 0.5000 [1 per cell]  4 P 3.57, 8 Cl 3.58
3 P 0.0000 0.0000 0.5000 [1 per cell]  2 Hf 2.54
4 Cl 0.0000 0.5000 0.0000 [2 per cell]  2 Hf 2.52

7.
Material: HfInP2Cl
Method: DFT, PBE
State: relaxed

## Properties
Crystal system: tetragonal
Energy: -4.37 eV/atom
Formation energy from raw total energies: 16.23 kcal/mol of atoms
Offset from the most stable computed form: 5.00 eV per formula unit

Unit cell a=4.9820 b=4.9820 c=4.8234 alpha=90.00 beta=90.00 gamma=90.00
Closest atoms and distances in Å follow each position.
Space group P4/mmm (No. 123)
Symmetry-distinct sites (fractional):
1 Hf 0.0000 0.0000 0.0000 [1 per cell]  8 P 3.47, 4 Cl 3.52
2 In 0.5000 0.5000 0.5000 [1 per cell]  2 Cl 2.41, 4 P 2.49
3 P 0.0000 0.5000 0.5000 [2 per cell]  2 In 2.49
4 Cl 0.5000 0.5000 0.0000 [1 per cell]  2 In 2.41

8.
Material: HfInP2Cl
Method: DFT, PBE
State: relaxed

## Properties
Crystal system: tetragonal
Energy: -5.37 eV/atom
Formation energy from raw total energies: -6.85 kcal/mol of atoms
Offset from the most stable computed form: 0.00 eV per formula unit

Unit cell a=5.0382 b=5.0382 c=5.0428 alpha=90.00 beta=90.00 gamma=90.00
Closest atoms and distances in Å follow each position.
Space group P4/mmm (No. 123)
Symmetry-distinct sites (fractional):
1 Hf 0.0000 0.0000 0.0000 [1 per cell]  4 P 2.52, 2 Cl 2.52
2 In 0.5000 0.5000 0.5000 [1 per cell]  4 Cl 3.56, 8 P 3.56
3 P 0.0000 0.5000 0.0000 [2 per cell]  2 Hf 2.52
4 Cl 0.0000 0.0000 0.5000 [1 per cell]  2 Hf 2.52

9.
Material: HfInPd2Cl
Method: DFT, PBE
State: relaxed

## Properties
Crystal system: tetragonal
Energy: -4.47 eV/atom
Formation energy from raw total energies: 11.80 kcal/mol of atoms

Unit cell a=4.5103 b=4.5103 c=5.3672 alpha=90.00 beta=90.00 gamma=90.00
Closest atoms and distances in Å follow each position.
Space group P4/mmm (No. 123)
Symmetry-distinct sites (fractional):
1 Hf 0.0000 0.0000 0.0000 [1 per cell]  4 In 3.19, 8 Pd 3.51
2 In 0.5000 0.5000 0.0000 [1 per cell]  2 Cl 2.68
3 Pd 0.0000 0.5000 0.5000 [2 per cell]  2 Cl 2.26
4 Cl 0.5000 0.5000 0.5000 [1 per cell]  4 Pd 2.26

10.
Material: Rb2HfInCl6
Method: DFT, PBE
State: relaxed

## Properties
Crystal system: cubic
Energy: -4.14 eV/atom
Formation energy from raw total energies: -36.21 kcal/mol of atoms
Offset from the most stable computed form: 0.06 eV per formula unit

Unit cell a=11.1321 b=11.1321 c=11.1321 alpha=90.00 beta=90.00 gamma=90.00
Closest atoms and distances in Å follow each position.
Space group Fm-3m (No. 225)
Symmetry-distinct sites (fractional):
1 Rb 0.2500 0.2500 0.2500 [8 per cell]  12 Cl 3.95
2 Hf 0.0000 0.0000 0.0000 [4 per cell]  6 Cl 2.51
3 In 0.0000 0.0000 0.5000 [4 per cell]  6 Cl 3.06
4 Cl 0.0000 0.0000 0.2255 [24 per cell]  1 Hf 2.51

11.
Material: RbHfInCl6
Method: DFT, PBE
State: relaxed

## Properties
Crystal system: trigonal
Energy: -4.44 eV/atom
Formation energy from raw total energies: -38.92 kcal/mol of atoms

Unit cell a=7.7991 b=7.7991 c=11.8654 alpha=90.00 beta=90.00 gamma=120.00
Closest atoms and distances in Å follow each position.
Space group P-31c (No. 163)
Symmetry-distinct sites (fractional):
1 Rb 0.3333 0.6667 0.2500 [2 per cell]  6 Cl 3.30
2 Hf 0.3333 0.6667 0.7500 [2 per cell]  6 Cl 2.47
3 In 0.0000 0.0000 0.0000 [2 per cell]  6 Cl 3.28
4 Cl 0.0789 0.4045 0.6297 [12 per cell]  1 Hf 2.47

12.
Material: RbHfIn2Cl8
Method: DFT, PBE
State: relaxed

## Properties
Crystal system: triclinic
Energy: -4.02 eV/atom
Formation energy from raw total energies: -32.83 kcal/mol of atoms

Unit cell a=6.5762 b=6.9125 c=8.9484 alpha=89.73 beta=89.31 gamma=88.09
Closest atoms and distances in Å follow each position.
Space group P-1 (No. 2)
Symmetry-distinct sites (fractional):
1 Rb 0.0000 0.0000 0.0000 [1 per cell]  6 Cl 3.24-3.26
2 Hf 0.0000 0.0000 0.5000 [1 per cell]  6 Cl 2.46-2.48
3 In 0.4950 0.4977 0.2458 [2 per cell]  4 Cl 2.74-3.06
4 Cl 0.2064 0.2895 0.5003 [2 per cell]  1 Hf 2.46
5 Cl 0.2226 0.8541 0.6942 [2 per cell]  1 Hf 2.47
6 Cl 0.2264 0.8580 0.3032 [2 per cell]  1 Hf 2.48
7 Cl 0.2926 0.3714 0.0001 [2 per cell]  2 In 2.74-2.76